BeNbVSb2: optimized geometry, GGA-PBE.

Calculated values
Formation energy from raw total energies, eV per atom: 0.737
Energy, eV per atom: -5.4950

Unit cell a=4.8049 b=4.8049 c=4.0175 alpha=90.00 beta=90.00 gamma=90.00
Space group P4/mmm (No. 123)
Asymmetric unit:
Be 0.0000 0.0000 0.0000
Nb 0.5000 0.5000 0.5000
V 0.0000 0.0000 0.5000
Sb 0.0000 0.5000 0.0000